Entry 1:
# PBE CsRuAu2, relaxed
data_CsRuAu2
_cell_length_a 7.249
_cell_length_b 7.249
_cell_length_c 7.249
_cell_angle_alpha 90.00
_cell_angle_beta 90.00
_cell_angle_gamma 90.00
_space_group_name_H-M_alt 'F m -3 m'
_space_group_IT_number 225
_space_group_name_Hall '-F 4 2 3'
loop_
_atom_site_label
_atom_site_fract_x
_atom_site_fract_y
_atom_site_fract_z
Cs1 0.000 0.000 0.000
Ru1 0.000 0.000 0.500
Au1 0.250 0.250 0.250
# Electronic total energy = -3.042 eV/atom
# Size of the total moment = 4.14 μB per cell

=====

Entry 2:
# PBE BaSi2SnSe8, relaxed
data_BaSi2SnSe8
_cell_length_a 6.2639
_cell_length_b 6.2639
_cell_length_c 9.6217
_cell_angle_alpha 90.00
_cell_angle_beta 90.00
_cell_angle_gamma 120.00
_space_group_name_H-M_alt 'P -3'
_space_group_IT_number 147
loop_
_space_group_symop_operation_xyz
'x,y,z'
'-x,-y,-z'
'-y,x-y,z'
'y,-x+y,-z'
'-x+y,-x,z'
'x-y,x,-z'
loop_
_atom_site_label
_atom_site_fract_x
_atom_site_fract_y
_atom_site_fract_z
Ba1 0.0000 0.0000 0.0000
Si1 0.3333 0.6667 0.7487
Sn1 0.0000 0.0000 0.5000
Se1 0.0302 0.6839 0.3145
Se2 0.3333 0.6667 0.9842
# Formation energy from raw total energies = -0.5190 eV per atom
# Size of the total moment = 0.00 μB per cell

=====

Entry 3:
# PBE SrBi, relaxed
data_SrBi
_cell_length_a 5.057
_cell_length_b 19.626
_cell_length_c 4.896
_cell_angle_alpha 90.00
_cell_angle_beta 90.00
_cell_angle_gamma 90.00
_space_group_name_H-M_alt 'C m m m'
_space_group_IT_number 65
_space_group_name_Hall '-C 2 2'
loop_
_atom_site_label
_atom_site_fract_x
_atom_site_fract_y
_atom_site_fract_z
Sr1 0.000 0.000 0.000
Sr2 0.000 0.335 0.500
Bi1 0.000 0.202 0.000
Bi2 0.000 0.500 0.500
# Electronic total energy = -3.510 eV/atom
# Size of the total moment = 0.00 μB per cell

=====

Entry 4:
# PBE Cs2CuClF3, relaxed
data_Cs2CuClF3
_cell_length_a 4.504
_cell_length_b 4.768
_cell_length_c 14.713
_cell_angle_alpha 90.00
_cell_angle_beta 90.00
_cell_angle_gamma 90.00
_space_group_name_H-M_alt 'I m m m'
_space_group_IT_number 71
_space_group_name_Hall '-I 2 2'
loop_
_atom_site_label
_atom_site_fract_x
_atom_site_fract_y
_atom_site_fract_z
Cs1 0.000 0.000 0.156
Cu1 0.000 0.000 0.500
Cl1 0.000 0.500 0.500
F1 0.000 0.000 0.365
F2 0.000 0.500 0.000
# Formation energy from raw total energies = -1.9569 eV per atom
# Size of the total moment = 1.94 μB per cell

=====

no.,D(E_F) (states/eV per cell)
1,17.89
2,11.40
3,4.17
4,2.36